Arrangement a

ZrMnI2: optimized geometry, PBE.

Cell: 4.913 4.913 4.913 Å, 60.00 60.00 60.00°
Fractional positions:
Zr (0.000, 0.000, 0.000)
Mn (0.500, 0.500, 0.500)
I (0.250, 0.250, 0.250)
I (0.750, 0.750, 0.750)

Computed properties:
The value obtained for the density of states at the Fermi level is 7.5 states/eV/f.u. As for the crystal system: cubic.

---

Arrangement b

ZrMnI2: optimized geometry, PBE.

Cell: 7.541 7.541 7.541 Å, 127.66 127.66 77.17°
Fractional positions:
Zr (0.000, 0.000, 0.000)
Zr (0.750, 0.250, 0.500)
Mn (0.250, 0.750, 0.500)
Mn (0.500, 0.500, 0.000)
I (0.158, 0.625, 0.033)
I (0.375, 0.408, 0.533)
I (0.592, 0.125, 0.967)
I (0.875, 0.842, 0.467)

Computed properties:
The value obtained for the density of states at the Fermi level is 4.9 states/eV/f.u. As for the crystal system: tetragonal.

---

Relative energy of each structure, in eV/atom: arrangement a 0.170; arrangement b 0.000.

---

Arrangement a

ZrMn3I: optimized geometry, PBE.

Cell: 5.135 5.135 5.135 Å, 90.00 90.00 90.00°
Fractional positions:
Zr (0.000, 0.000, 0.000)
Mn (0.000, 0.000, 0.500)
Mn (0.000, 0.500, 0.000)
Mn (0.500, 0.000, 0.000)
I (0.500, 0.500, 0.500)

Computed properties:
The value obtained for the density of states at the Fermi level is 5.8 states/eV/f.u. As for the crystal system: cubic.

---

Arrangement b

ZrMn3I: optimized geometry, PBE.

Cell: 4.735 4.735 4.735 Å, 90.00 90.00 90.00°
Fractional positions:
Zr (0.000, 0.000, 0.000)
Mn (0.000, 0.500, 0.500)
Mn (0.500, 0.000, 0.500)
Mn (0.500, 0.500, 0.000)
I (0.500, 0.500, 0.500)

Computed properties:
The value obtained for the density of states at the Fermi level is 5.6 states/eV/f.u. As for the crystal system: cubic.

---

Relative energy of each structure, in eV/atom: arrangement a 0.106; arrangement b 0.000.